No. 1
TiV2Tc: relaxed, PBE.

Results
electronic total energy: -72.37 eV/cell
total magnetization: 0.0 μB per formula unit
Fermi-level density of states: 11.12 states/eV per cell

Geometry as POSCAR:
```
TiV2Tc
1.0
4.3222 -0.5140 0.0000
0.7002 5.8890 0.0000
2.1611 -0.2570 4.7164
Ti Tc V
2 2 4
Direct
0.9118 0.2500 0.1764
0.0882 0.7500 0.8236
0.8207 0.7500 0.3587
0.1793 0.2500 0.6413
0.6327 0.4679 0.7346
0.6327 0.0321 0.7346
0.3673 0.9679 0.2654
0.3673 0.5321 0.2654
```


No. 2
KCaAlTe3: relaxed, PBE.

Results
total magnetization: 0.0 μB per formula unit
ΔE_f (raw): -1063 meV per atom

Geometry as POSCAR:
```
KCaAlTe3
1.0
-1.5742 -1.5049 3.8265
8.1079 1.3052 1.3158
-2.4315 11.5382 3.5376
K Al Te Ca
2 2 6 2
Direct
0.2483 0.4967 0.2500
0.7517 0.5033 0.7500
0.5407 0.0814 0.2500
0.4593 0.9186 0.7500
0.0646 0.1292 0.7500
0.3698 0.7396 0.5742
0.6302 0.2604 0.0742
0.9354 0.8708 0.2500
0.3698 0.7396 0.9258
0.6302 0.2604 0.4258
0.0000 0.0000 0.0000
0.0000 0.0000 0.5000
```


No. 3
FeIr2W: relaxed, PBE.

Results
relative energy among the computed polymorphs: 29 meV/atom
total magnetization: 2.6 μB per formula unit
Fermi-level density of states: 3.01 states/eV per cell

Geometry as POSCAR:
```
FeIr2W
1.0
-1.6475 1.6168 1.5222
-2.8545 -2.4058 -0.5343
1.4742 -2.7528 4.5195
W Fe Ir
1 1 2
Direct
0.5000 0.5000 0.2500
0.5000 0.5000 0.7500
0.0000 0.0000 0.5081
0.0000 0.0000 0.9919
```